Material: FeIrPt
Method: DFT, PBE
State: optimized geometry

Summary:
Relative energy among the computed polymorphs: 0.310 eV per atom
E_tot: -7.559 eV/atom
Formation enthalpy at 0 K: 0.69 eV/f.u.

POSCAR file:
```
FeIrPt
1.0
-1.001 -1.900 -3.458
0.274 -4.054 -0.249
-3.380 -2.262 -0.175
Ir Pt Fe
1 1 1
Direct
0.000 0.000 0.000 Ir
0.500 0.500 0.500 Pt
0.750 0.750 0.750 Fe
```